Record 1
# Sr3Nb5O12 | Alexandria | PBE | relaxed
# **Calculated volume**: 1217.4 Å³ per cell
# **Electronic total energy**: -652.51 eV for the cell shown
# **ΔE_f (raw)**: -2.41 eV per atom
# **DOS at the Fermi energy**: 0.49 states/eV/atom
# **Size of the total moment**: 23.9 μB/cell
# **Space group**: No. 230
data_Sr3Nb5O12
_symmetry_space_group_name_H-M 'P 1'
_symmetry_Int_Tables_number 1
_cell_length_a 11.651
_cell_length_b 11.651
_cell_length_c 11.651
_cell_angle_alpha 109.47
_cell_angle_beta 109.47
_cell_angle_gamma 109.47
loop_
_symmetry_equiv_pos_as_xyz
'x,y,z'
loop_
_atom_site_label
_atom_site_type_symbol
_atom_site_fract_x
_atom_site_fract_y
_atom_site_fract_z
O1 O 0.197 0.681 0.079
O2 O 0.319 0.515 0.398
O3 O 0.421 0.118 0.602
Nb1 Nb 0.250 0.875 0.125
O4 O 0.819 0.898 0.015
O5 O 0.382 0.985 0.803
Nb2 Nb 0.250 0.375 0.625
Sr1 Sr 0.875 0.750 0.125
O6 O 0.515 0.197 0.118
Sr2 Sr 0.250 0.125 0.375
Nb3 Nb 0.875 0.250 0.625
Nb4 Nb 0.125 0.375 0.250
O7 O 0.181 0.102 0.985
O8 O 0.118 0.421 0.102
O9 O 0.602 0.985 0.681
O10 O 0.618 0.015 0.197
O11 O 0.819 0.921 0.303
O12 O 0.485 0.803 0.882
Nb5 Nb 0.375 0.125 0.750
O13 O 0.921 0.102 0.618
O14 O 0.898 0.079 0.882
Sr3 Sr 0.750 0.375 0.125
O15 O 0.118 0.697 0.515
Sr4 Sr 0.250 0.625 0.875
Nb6 Nb 0.500 0.500 0.000
O16 O 0.015 0.398 0.819
Nb7 Nb 0.875 0.625 0.750
Sr5 Sr 0.125 0.250 0.875
O17 O 0.882 0.579 0.898
Sr6 Sr 0.375 0.750 0.625
Sr7 Sr 0.375 0.625 0.250
Sr8 Sr 0.625 0.375 0.750
Sr9 Sr 0.125 0.875 0.750
Sr10 Sr 0.625 0.250 0.375
O18 O 0.681 0.485 0.602
Sr11 Sr 0.750 0.875 0.625
O19 O 0.015 0.618 0.697
O20 O 0.803 0.485 0.382
Nb8 Nb 0.500 0.500 0.500
O21 O 0.398 0.015 0.319
O22 O 0.398 0.382 0.579
Nb9 Nb 0.000 0.500 0.000
Nb10 Nb 0.500 0.000 0.000
O23 O 0.882 0.303 0.485
O24 O 0.579 0.697 0.681
Nb11 Nb 0.000 0.500 0.500
Nb12 Nb 0.625 0.875 0.250
O25 O 0.985 0.602 0.181
O26 O 0.319 0.803 0.421
Nb13 Nb 0.375 0.250 0.125
Nb14 Nb 0.750 0.125 0.875
O27 O 0.181 0.079 0.697
O28 O 0.681 0.197 0.579
O29 O 0.921 0.819 0.803
Nb15 Nb 0.125 0.750 0.375
O30 O 0.985 0.382 0.303
O31 O 0.803 0.319 0.921
O32 O 0.102 0.921 0.118
O33 O 0.602 0.618 0.421
O34 O 0.303 0.421 0.819
O35 O 0.515 0.319 0.898
O36 O 0.697 0.118 0.015
Nb16 Nb 0.500 0.000 0.500
O37 O 0.579 0.882 0.398
Nb17 Nb 0.000 0.000 0.500
O38 O 0.102 0.181 0.485
Nb18 Nb 0.625 0.750 0.875
O39 O 0.197 0.515 0.618
Nb19 Nb 0.750 0.625 0.375
O40 O 0.697 0.579 0.181
O41 O 0.485 0.681 0.102
O42 O 0.618 0.602 0.921
O43 O 0.079 0.181 0.197
O44 O 0.303 0.882 0.985
O45 O 0.079 0.898 0.382
Sr12 Sr 0.875 0.125 0.250
O46 O 0.898 0.819 0.515
Nb20 Nb 0.000 0.000 0.000
O47 O 0.421 0.303 0.319
O48 O 0.382 0.398 0.079

=====

Record 2
# SrNbO3 | Alexandria | PBE | relaxed
# **Calculated volume**: 111.4 Å³ per cell
# **Electronic total energy**: -38.52 eV for the cell shown
# **ΔE_f (raw)**: -2.38 eV per atom
# **DOS at the Fermi energy**: 0.29 states/eV/atom
# **Size of the total moment**: 0.6 μB/cell
# **Space group**: No. 38
data_SrNbO3
_symmetry_space_group_name_H-M 'P 1'
_symmetry_Int_Tables_number 1
_cell_length_a 3.142
_cell_length_b 6.281
_cell_length_c 6.281
_cell_angle_alpha 115.95
_cell_angle_beta 90.00
_cell_angle_gamma 90.00
loop_
_symmetry_equiv_pos_as_xyz
'x,y,z'
loop_
_atom_site_label
_atom_site_type_symbol
_atom_site_fract_x
_atom_site_fract_y
_atom_site_fract_z
O1 O 0.000 0.232 0.768
O2 O 0.500 0.269 0.347
Sr1 Sr 0.500 0.067 0.933
O3 O 0.500 0.653 0.731
Nb1 Nb 0.000 0.408 0.592

=====

Record 3
# SrNbO3 | Alexandria | PBE | relaxed
# **Calculated volume**: 151.8 Å³ per cell
# **Electronic total energy**: -79.32 eV for the cell shown
# **ΔE_f (raw)**: -2.61 eV per atom
# **DOS at the Fermi energy**: 0.10 states/eV/atom
# **Size of the total moment**: 0.0 μB/cell
# **Space group**: No. 194
data_SrNbO3
_symmetry_space_group_name_H-M 'P 1'
_symmetry_Int_Tables_number 1
_cell_length_a 3.679
_cell_length_b 3.679
_cell_length_c 12.957
_cell_angle_alpha 90.00
_cell_angle_beta 90.00
_cell_angle_gamma 120.00
loop_
_symmetry_equiv_pos_as_xyz
'x,y,z'
loop_
_atom_site_label
_atom_site_type_symbol
_atom_site_fract_x
_atom_site_fract_y
_atom_site_fract_z
Sr1 Sr 0.000 0.000 0.000
Nb1 Nb 0.333 0.667 0.750
O1 O 0.333 0.667 0.900
Sr2 Sr 0.000 0.000 0.500
O2 O 0.000 0.000 0.250
Nb2 Nb 0.667 0.333 0.250
O3 O 0.667 0.333 0.400
O4 O 0.333 0.667 0.600
O5 O 0.000 0.000 0.750
O6 O 0.667 0.333 0.100

=====

Record 4
# SrNb8O14 | Alexandria | PBE | relaxed
# **Calculated volume**: 587.0 Å³ per cell
# **Electronic total energy**: -415.55 eV for the cell shown
# **ΔE_f (raw)**: -2.44 eV per atom
# **DOS at the Fermi energy**: 0.10 states/eV/atom
# **Size of the total moment**: 0.0 μB/cell
# **Space group**: No. 55
data_SrNb8O14
_symmetry_space_group_name_H-M 'P 1'
_symmetry_Int_Tables_number 1
_cell_length_a 6.022
_cell_length_b 9.376
_cell_length_c 10.397
_cell_angle_alpha 90.00
_cell_angle_beta 90.00
_cell_angle_gamma 90.00
loop_
_symmetry_equiv_pos_as_xyz
'x,y,z'
loop_
_atom_site_label
_atom_site_type_symbol
_atom_site_fract_x
_atom_site_fract_y
_atom_site_fract_z
O1 O 0.746 0.260 0.086
Nb1 Nb 0.268 0.875 0.077
O2 O 0.746 0.005 0.747
Nb2 Nb 0.732 0.875 0.077
O3 O 0.746 0.995 0.253
Nb3 Nb 0.500 0.880 0.835
O4 O 0.000 0.500 0.000
Nb4 Nb 0.732 0.125 0.923
O5 O 0.254 0.505 0.753
O6 O 0.254 0.495 0.247
O7 O 0.000 0.766 0.179
O8 O 0.254 0.240 0.586
O9 O 0.746 0.240 0.586
O10 O 0.746 0.495 0.247
Nb5 Nb 0.732 0.625 0.577
O11 O 0.254 0.995 0.253
Sr1 Sr 0.500 0.000 0.500
Nb6 Nb 0.500 0.620 0.335
O12 O 0.500 0.263 0.849
Nb7 Nb 0.000 0.884 0.336
O13 O 0.000 0.000 0.500
O14 O 0.254 0.005 0.747
Nb8 Nb 0.500 0.380 0.665
O15 O 0.746 0.740 0.914
Nb9 Nb 0.000 0.116 0.664
O16 O 0.000 0.500 0.500
O17 O 0.000 0.000 0.000
Nb10 Nb 0.500 0.120 0.165
O18 O 0.500 0.763 0.651
O19 O 0.746 0.505 0.753
Nb11 Nb 0.000 0.616 0.836
O20 O 0.254 0.260 0.086
O21 O 0.746 0.760 0.414
Nb12 Nb 0.000 0.384 0.164
O22 O 0.500 0.237 0.349
Nb13 Nb 0.268 0.125 0.923
O23 O 0.254 0.760 0.414
Nb14 Nb 0.732 0.375 0.423
O24 O 0.000 0.234 0.821
O25 O 0.254 0.740 0.914
Nb15 Nb 0.268 0.625 0.577
Sr2 Sr 0.500 0.500 0.000
O26 O 0.000 0.734 0.679
O27 O 0.500 0.737 0.151
O28 O 0.000 0.266 0.321
Nb16 Nb 0.268 0.375 0.423